# LiNiB2O GGA+U optimized geometry
data_LiNiB2O
_chemical_formula_sum 'Li1 Ni1 B2 O1'
_space_group_name_H-M_alt 'P 1'
_space_group_IT_number 1
_space_group_name_Hall 'P 1'
_cell_length_a 3.3625
_cell_length_b 3.3625
_cell_length_c 4.7944
_cell_angle_alpha 90.00
_cell_angle_beta 90.00
_cell_angle_gamma 90.00
loop_
_atom_site_label
_atom_site_type_symbol
_atom_site_fract_x
_atom_site_fract_y
_atom_site_fract_z
Li1 Li 0.0000 0.0000 0.0000
Ni1 Ni 0.0000 0.0000 0.5000
B1 B 0.0000 0.5000 0.0000
B2 B 0.5000 0.0000 0.0000
O1 O 0.5000 0.5000 0.5000
# - DOS at the Fermi energy: 1.51 states/eV per cell
# - Raw total energy: -13.9 eV for the cell shown
# - Total magnetic moment: 1.309 μB per formula unit
# - Volume: 10.84 Å³ per atom
# - Space group: P4/mmm